(1)
Compound: Dy2YZn2Si4Au2
Source: OQMD via LeMat-Bulk
Functional: PBE
Structure: optimized geometry

Cell: 12.637 12.637 12.637 Å, 161.24 161.00 26.82°
Fractional coordinates of all 11 atoms:
Si: 0.188 0.688 0.500
Si: 0.452 0.452 0.000
Si: 0.548 0.548 0.000
Si: 0.812 0.312 0.500
Au: 0.252 0.252 0.000
Au: 0.748 0.748 0.000
Zn: 0.093 0.593 0.500
Zn: 0.907 0.407 0.500
Dy: 0.356 0.856 0.500
Dy: 0.644 0.144 0.500
Y: 0.000 0.000 0.000

The size of the total moment is 0.0002 μB/atom. Its total energy is -4.813 eV/atom. Its space-group type is Immm (71).


(2)
Compound: Dy2YZn2Si4Au2
Source: OQMD via LeMat-Bulk
Functional: PBE
Structure: optimized geometry

Cell: 12.864 12.864 12.864 Å, 161.96 161.21 26.16°
Fractional coordinates of all 11 atoms:
Au: 0.905 0.405 0.500
Au: 0.095 0.595 0.500
Y: 0.000 0.000 0.000
Si: 0.453 0.453 0.000
Si: 0.191 0.691 0.500
Si: 0.547 0.547 0.000
Si: 0.809 0.309 0.500
Zn: 0.251 0.251 0.000
Zn: 0.749 0.749 0.000
Dy: 0.354 0.854 0.500
Dy: 0.646 0.146 0.500

The size of the total moment is 0.0007 μB/atom. Its total energy is -4.866 eV/atom. Its space-group type is Immm (71).